# 1
The following is a DFT calculation (PBE) of crystalline LaY8Tm5 at its relaxed geometry.

For the formation energy, the calculation gives 248 meV/atom. The crystal system is tetragonal. The value obtained for the density of states at the Fermi level is 1.501 states/eV per atom.

It has space group I-4 (No. 82), with a = 9.573 Å, b = 9.573 Å, c = 9.988 Å, α = 90.00°, β = 90.00° and γ = 90.00°. The inequivalent atoms are La at (0.000, 0.000, 0.000), Y at (0.071, 0.329, 0.904), Y at (0.087, 0.176, 0.247), Tm at (0.000, 0.500, 0.250) and Tm at (0.110, 0.208, 0.576).

=====

# 2
The following is a DFT calculation (PBE) of crystalline La8YTm2 at its relaxed geometry.

For the formation energy, the calculation gives 105 meV/atom. The crystal system is orthorhombic. The value obtained for the density of states at the Fermi level is 1.546 states/eV per atom. Its relative energy among the computed polymorphs is 0.000 kcal/mol of atoms.

It has space group Immm (No. 71), with a = 5.781 Å, b = 8.318 Å, c = 16.376 Å, α = 90.00°, β = 90.00° and γ = 90.00°. The inequivalent atoms are La at (0.000, 0.000, 0.163), La at (0.000, 0.198, 0.364), La at (0.000, 0.296, 0.000), Y at (0.000, 0.500, 0.500) and Tm at (0.000, 0.500, 0.203).

=====

# 3
The following is a DFT calculation (PBE) of crystalline LaY3Tm7 at its relaxed geometry.

For the formation energy, the calculation gives 208 meV/atom. The crystal system is trigonal. The value obtained for the density of states at the Fermi level is 1.670 states/eV per atom. Its relative energy among the computed polymorphs is 1.001 kcal/mol of atoms.

It has space group P3m1 (No. 156), with a = 7.0009 Å, b = 7.0009 Å, c = 8.6120 Å, α = 90.00°, β = 90.00° and γ = 120.00°. The inequivalent atoms are La at (0.0000, 0.0000, 0.0000), Y at (0.1677, 0.3353, 0.6576), Tm at (0.0023, 0.5011, 0.9983), Tm at (0.3318, 0.1659, 0.3257) and Tm at (0.3333, 0.6667, 0.3247).

=====

# 4
The following is a DFT calculation (PBE) of crystalline La2Y4Tm5 at its relaxed geometry.

For the formation energy, the calculation gives 214 meV/atom. The crystal system is orthorhombic. The value obtained for the density of states at the Fermi level is 1.313 states/eV per atom. Its relative energy among the computed polymorphs is 2.176 kcal/mol of atoms.

It has space group Immm (No. 71), with a = 3.472 Å, b = 11.578 Å, c = 18.366 Å, α = 90.00°, β = 90.00° and γ = 90.00°. The inequivalent atoms are La at (0.000, 0.000, 0.202), Y at (0.000, 0.000, 0.409), Y at (0.000, 0.272, 0.000), Tm at (0.000, 0.287, 0.178) and Tm at (0.000, 0.500, 0.500).

=====

# 5
The following is a DFT calculation (PBE) of crystalline LaY5Tm2 at its relaxed geometry.

For the formation energy, the calculation gives 30 meV/atom. The crystal system is orthorhombic. The value obtained for the density of states at the Fermi level is 1.418 states/eV per atom.

It has space group Pbam (No. 55), with a = 7.159 Å, b = 14.333 Å, c = 5.036 Å, α = 90.00°, β = 90.00° and γ = 90.00°. The inequivalent atoms are La at (0.000, 0.000, 0.000), Y at (0.000, 0.500, 0.000), Y at (0.003, 0.252, 0.000), Y at (0.247, 0.626, 0.500) and Tm at (0.249, 0.874, 0.500).

=====

# 6
The following is a DFT calculation (PBE) of crystalline LaY6Tm4 at its relaxed geometry.

For the formation energy, the calculation gives 117 meV/atom. The crystal system is orthorhombic. The value obtained for the density of states at the Fermi level is 1.832 states/eV per atom. Its relative energy among the computed polymorphs is 0.000 kcal/mol of atoms.

It has space group Cmcm (No. 63), with a = 5.665 Å, b = 9.753 Å, c = 25.740 Å, α = 90.00°, β = 90.00° and γ = 90.00°. The inequivalent atoms are La at (0.000, 0.171, 0.250), Y at (0.000, 0.161, 0.679), Y at (0.000, 0.172, 0.099), Y at (0.000, 0.495, 0.750), Y at (0.000, 0.500, 0.000), Tm at (0.000, 0.165, 0.541) and Tm at (0.000, 0.494, 0.621).